No. 1
The following is a DFT calculation (PBE) of a relaxed structure of AgAs2Se.

Results
Space group: Pmmm, No. 47
Fermi-level density of states: 2.22 states/eV/f.u.
Formation energy (no corrections): 371 meV/atom
Electronic total energy: -3.54 eV per atom

a b c (Å): 2.998 5.078 5.149
angles (deg): 90.00 90.00 90.00
Positions (direct):
1 Ag 0.000 0.000 0.000
2 As 0.000 0.500 0.500
3 As 0.500 0.500 0.000
4 Se 0.500 0.000 0.500

=====

No. 2
The following is a DFT calculation (PBE) of a relaxed structure of PaCoTc2C.

Results
Space group: P4/mmm, No. 123
Fermi-level density of states: 2.90 states/eV/f.u.
Energy of formation: -24.60 kJ per mole of atoms
Electronic total energy: -9.57 eV per atom

a b c (Å): 4.231 4.231 3.919
angles (deg): 90.00 90.00 90.00
Positions (direct):
1 Pa 0.000 0.000 0.000
2 Co 0.500 0.500 0.000
3 Tc 0.000 0.500 0.500
4 Tc 0.500 0.000 0.500
5 C 0.500 0.500 0.500

=====

No. 3
The following is a DFT calculation (PBE) of a relaxed structure of Th2CdSn4.

Results
Space group: P-4m2, No. 115
Fermi-level density of states: 4.21 states/eV/f.u.
Energy of formation: -32.49 kJ per mole of atoms
Electronic total energy: -4.87 eV per atom

a b c (Å): 4.486 4.486 10.141
angles (deg): 90.00 90.00 90.00
Positions (direct):
1 Th 0.000 0.500 0.249
2 Th 0.500 0.000 0.751
3 Cd 0.000 0.000 0.500
4 Sn 0.000 0.000 0.000
5 Sn 0.000 0.500 0.683
6 Sn 0.500 0.000 0.317
7 Sn 0.500 0.500 0.000